No. 1
Entry from the Alexandria database: a crystal of Zr2BeIn relaxed with PBEsol (SCAN).

Output
The energy of formation is 0.083 eV/atom. For the energy above the most stable polymorph in this dataset, the calculation gives 32.1 kJ/mol of atoms. Its crystal system is orthorhombic.

Cell lengths 3.1811, 4.0398, 6.0457 Å; angles 90.00, 90.00, 90.00 degrees
Space group Pmm2 (No. 25)
Asymmetric unit:
1 Zr 0.0000 0.0000 0.0000 [1 per cell]
2 Zr 0.5000 0.5000 0.2570 [1 per cell]
3 Be 0.0000 0.0000 0.4684 [1 per cell]
4 In 0.5000 0.5000 0.7312 [1 per cell]

---

No. 2
Entry from the Alexandria database: a crystal of Zr2BeIn relaxed with PBEsol (SCAN).

Output
The energy of formation is -0.249 eV/atom. For the energy above the most stable polymorph in this dataset, the calculation gives 0.0 kJ/mol of atoms. Its crystal system is tetragonal.

Cell lengths 2.9955, 2.9955, 8.1249 Å; angles 90.00, 90.00, 90.00 degrees
Space group P4/mmm (No. 123)
Asymmetric unit:
1 Zr 0.0000 0.0000 0.2092 [2 per cell]
2 Be 0.5000 0.5000 0.0000 [1 per cell]
3 In 0.5000 0.5000 0.5000 [1 per cell]

---

No. 3
Entry from the Alexandria database: a crystal of Zr2Be2In relaxed with PBEsol (SCAN).

Output
The energy of formation is -0.374 eV/atom. Its crystal system is tetragonal.

Cell lengths 6.4470, 6.4470, 3.9109 Å; angles 90.00, 90.00, 90.00 degrees
Space group P4/mbm (No. 127)
Asymmetric unit:
1 Zr 0.1674 0.3326 0.0000 [4 per cell]
2 Be 0.1192 0.6192 0.5000 [4 per cell]
3 In 0.0000 0.0000 0.5000 [2 per cell]

---

No. 4
Entry from the Alexandria database: a crystal of ZrBe2In relaxed with PBEsol (SCAN).

Output
The energy of formation is 0.030 eV/atom. Its crystal system is orthorhombic.

Cell lengths 3.0451, 3.9827, 5.3567 Å; angles 90.00, 90.00, 90.00 degrees
Space group Pmmm (No. 47)
Asymmetric unit:
1 Zr 0.0000 0.0000 0.0000 [1 per cell]
2 Be 0.5000 0.5000 0.2019 [2 per cell]
3 In 0.5000 0.0000 0.5000 [1 per cell]

---

No. 5
Entry from the Alexandria database: a crystal of Be2Ir relaxed with PBEsol (SCAN).

Output
The energy of formation is -0.746 eV/atom. For the energy above the most stable polymorph in this dataset, the calculation gives 1.4 kJ/mol of atoms. Its crystal system is tetragonal.

Cell lengths 2.8480, 2.8480, 7.3798 Å; angles 90.00, 90.00, 90.00 degrees
Space group I4/mmm (No. 139)
Asymmetric unit:
1 Be 0.0000 0.0000 0.1649 [4 per cell]
2 Ir 0.0000 0.0000 0.5000 [2 per cell]

---

No. 6
Entry from the Alexandria database: a crystal of Be5Ir relaxed with PBEsol (SCAN).

Output
The energy of formation is -0.338 eV/atom. Its crystal system is orthorhombic.

Cell lengths 2.8610, 10.7833, 3.5538 Å; angles 90.00, 90.00, 90.00 degrees
Space group Cmmm (No. 65)
Asymmetric unit:
1 Be 0.0000 0.0000 0.0000 [2 per cell]
2 Be 0.0000 0.1711 0.5000 [4 per cell]
3 Be 0.0000 0.3278 0.0000 [4 per cell]
4 Ir 0.0000 0.5000 0.5000 [2 per cell]

---

No. 7
Entry from the Alexandria database: a crystal of BeIr5 relaxed with PBEsol (SCAN).

Output
The energy of formation is -0.201 eV/atom. Its crystal system is tetragonal.

Cell lengths 2.7320, 2.7320, 10.4206 Å; angles 90.00, 90.00, 90.00 degrees
Space group P4/mmm (No. 123)
Asymmetric unit:
1 Be 0.0000 0.0000 0.0000 [1 per cell]
2 Ir 0.0000 0.0000 0.3180 [2 per cell]
3 Ir 0.5000 0.5000 0.1340 [2 per cell]
4 Ir 0.5000 0.5000 0.5000 [1 per cell]

---

No. 8
Entry from the Alexandria database: a crystal of BeIr7 relaxed with PBEsol (SCAN).

Output
The energy of formation is -0.088 eV/atom. Its crystal system is cubic.

Cell lengths 7.5845, 7.5845, 7.5845 Å; angles 90.00, 90.00, 90.00 degrees
Space group Fm-3m (No. 225)
Asymmetric unit:
1 Be 0.0000 0.0000 0.0000 [4 per cell]
2 Ir 0.0000 0.0000 0.5000 [4 per cell]
3 Ir 0.0000 0.2500 0.2500 [24 per cell]

---

No. 9
Entry from the Alexandria database: a crystal of Be2Ir relaxed with PBEsol (SCAN).

Output
The energy of formation is -0.761 eV/atom. For the energy above the most stable polymorph in this dataset, the calculation gives 0.0 kJ/mol of atoms. Its crystal system is orthorhombic.

Cell lengths 2.8195, 11.6203, 3.6550 Å; angles 90.00, 90.00, 90.00 degrees
Space group Cmcm (No. 63)
Asymmetric unit:
1 Be 0.0000 0.0661 0.2500 [4 per cell]
2 Be 0.0000 0.2648 0.7500 [4 per cell]
3 Ir 0.0000 0.3982 0.2500 [4 per cell]

---

No. 10
Entry from the Alexandria database: a crystal of Be2Ir relaxed with PBEsol (SCAN).

Output
The energy of formation is -0.641 eV/atom. For the energy above the most stable polymorph in this dataset, the calculation gives 11.5 kJ/mol of atoms. Its crystal system is hexagonal.

Cell lengths 3.6001, 3.6001, 2.6449 Å; angles 90.00, 90.00, 120.00 degrees
Space group P6/mmm (No. 191)
Asymmetric unit:
1 Be 0.3333 0.6667 0.0000 [2 per cell]
2 Ir 0.0000 0.0000 0.5000 [1 per cell]

---

No. 11
Entry from the Alexandria database: a crystal of Be24Ir5 relaxed with PBEsol (SCAN).

Output
The energy of formation is -0.430 eV/atom. Its crystal system is cubic.

Cell lengths 8.0231, 8.0231, 8.0231 Å; angles 90.00, 90.00, 90.00 degrees
Space group I-43m (No. 217)
Asymmetric unit:
1 Be 0.0300 0.3553 0.3553 [24 per cell]
2 Be 0.0902 0.0902 0.2766 [24 per cell]
3 Ir 0.0000 0.0000 0.0000 [2 per cell]
4 Ir 0.1973 0.1973 0.8027 [8 per cell]

---

No. 12
Entry from the Alexandria database: a crystal of Be5Ir3 relaxed with PBEsol (SCAN).

Output
The energy of formation is -0.721 eV/atom. Its crystal system is orthorhombic.

Cell lengths 5.7037, 7.3720, 3.8658 Å; angles 90.00, 90.00, 90.00 degrees
Space group Cmmm (No. 65)
Asymmetric unit:
1 Be 0.0000 0.0000 0.0000 [2 per cell]
2 Be 0.2152 0.5000 0.5000 [4 per cell]
3 Be 0.2500 0.2500 0.0000 [4 per cell]
4 Ir 0.0000 0.2224 0.5000 [4 per cell]
5 Ir 0.0000 0.5000 0.0000 [2 per cell]

---

M_tot, respectively: 0.00 0.00 0.00 0.00 0.00 0.00 0.00 0.00 0.00 0.00 0.00 0.00 μB per atom.
Mass density, respectively: 6.55 6.98 6.44 5.73 11.66 7.19 20.71 20.62 11.66 11.76 7.57 12.70 Mg/m³.